Density functional theory data (PBEsol) for a relaxed TaCdFe2Rh crystal.

Calculated values
DFT formation energy: 1.752 eV per atom
E: -6.2112 eV/atom
SG: P4/mmm
density of states at the Fermi level: 5.4 states/eV/cell

Lattice parameters (Å, degrees): 4.3197 4.3197 5.1195 90.00 90.00 90.00
Closest atoms and distances in Å follow each position.
Fractional coordinates of all 5 atoms:
Ta: 0.0000 0.0000 0.0000  4 Fe 2.16
Fe: 0.5000 0.0000 0.0000  2 Ta 2.16
Rh: 0.5000 0.5000 0.5000  4 Cd 3.05, 8 Fe 3.35
Cd: 0.0000 0.0000 0.5000  2 Ta 2.56
Fe: 0.0000 0.5000 0.0000  2 Ta 2.16